No. 1
A plane-wave DFT calculation with PBE was carried out for a relaxed structure of BaCa3Rh.

- energy of formation from the pure elements (eV per formula unit) = 1.3
- offset from the most stable computed form (eV per atom) = 0.485
- DFT total energy (eV for the cell shown) = -13.99
- size of the total moment (μB/cell) = 0.0

a b c (Å): 4.042 10.611 10.611
angles (deg): 41.73 90.00 90.00
Atoms (fractional coordinates):
1 Ba 0.000 0.000 0.000
2 Ca 0.000 0.434 0.927
3 Ca 0.000 0.927 0.434
4 Ca 0.500 0.813 0.813
5 Rh 0.500 0.679 0.679


No. 2
A plane-wave DFT calculation with PBE was carried out for a relaxed structure of CeAgAu11.

- energy of formation from the pure elements (eV per formula unit) = -2.1
- DFT total energy (eV for the cell shown) = -46.91
- size of the total moment (μB/cell) = 1.1

a b c (Å): 7.314 7.314 7.281
angles (deg): 98.53 98.53 134.25
Atoms (fractional coordinates):
1 Ce 0.000 0.000 0.000
2 Ag 0.000 0.000 0.500
3 Au 0.000 0.500 0.000
4 Au 0.006 0.661 0.653
5 Au 0.286 0.500 0.785
6 Au 0.339 0.994 0.347
7 Au 0.500 0.000 0.000
8 Au 0.500 0.286 0.785
9 Au 0.500 0.500 0.500
10 Au 0.500 0.714 0.215
11 Au 0.661 0.006 0.653
12 Au 0.714 0.500 0.215
13 Au 0.994 0.339 0.347


No. 3
A plane-wave DFT calculation with PBE was carried out for a relaxed structure of La5Tb3.

- energy of formation from the pure elements (eV per formula unit) = 0.1
- offset from the most stable computed form (eV per atom) = 0.000
- DFT total energy (eV for the cell shown) = -38.39
- size of the total moment (μB/cell) = 0.0

a b c (Å): 5.130 5.213 10.435
angles (deg): 90.00 90.00 90.00
Atoms (fractional coordinates):
1 La 0.000 0.000 0.000
2 La 0.000 0.000 0.500
3 La 0.000 0.500 0.247
4 La 0.000 0.500 0.753
5 La 0.500 0.500 0.500
6 Tb 0.500 0.000 0.247
7 Tb 0.500 0.000 0.753
8 Tb 0.500 0.500 0.000


no.,density of states at the Fermi level (states/eV/atom),theoretical density (Mg/m³)
1,0.711,1.98
2,0.848,15.55
3,1.601,6.97